No. 1
A geometry-optimized GaSbI structure, computed with PBE-GGA.

Cell lengths 8.4445, 6.3774, 8.8265 Å; angles 90.00, 119.94, 90.00 degrees
With the nearest neighbours (Å) after each atom.
Space group P2_1/c (No. 14)
One atom of each set of equivalent atoms:
Ga (0.2494, 0.2269, 0.3770) (multiplicity 4)  2 Sb 2.71-2.72, 2 I 2.77-2.82
Sb (0.4625, 0.2163, 0.2283) (multiplicity 4)  2 Ga 2.71-2.72
I (0.1131, 0.6815, 0.8596) (multiplicity 4)  2 Ga 2.77-2.82

Distance to the lowest polymorph of the same formula = 0.100 eV/atom



No. 2
A geometry-optimized LiAcPrSe3 structure, computed with PBE-GGA.

Cell lengths 8.9064, 4.1958, 9.1571 Å; angles 90.00, 102.99, 90.00 degrees
With the nearest neighbours (Å) after each atom.
Space group P2_1/m (No. 11)
One atom of each set of equivalent atoms:
Li (0.0870, 0.2500, 0.0876) (multiplicity 2)  4 Se 2.54-2.55
Ac (0.1825, 0.2500, 0.7250) (multiplicity 2)  7 Se 3.12-3.26
Pr (0.3396, 0.7500, 0.3399) (multiplicity 2)  6 Se 2.99-3.06
Se (0.0978, 0.2500, 0.3674) (multiplicity 2)  1 Li 2.54
Se (0.2054, 0.7500, 0.0013) (multiplicity 2)  3 Li 2.55
Se (0.4268, 0.7500, 0.6794) (multiplicity 2)  3 Pr 2.99-3.03, 2 Ac 3.12

Uncorrected energy = -5.28 eV per atom



No. 3
A geometry-optimized ZrNbSe structure, computed with PBE-GGA.

Cell lengths 8.7636, 8.7636, 3.4565 Å; angles 90.00, 90.00, 90.00 degrees
With the nearest neighbours (Å) after each atom.
Space group P4_2/m (No. 84)
One atom of each set of equivalent atoms:
Zr (0.0589, 0.6414, 0.0000) (multiplicity 4)  3 Se 2.63-2.67, 1 Zr 2.68
Nb (0.3075, 0.4690, 0.5000) (multiplicity 4)  3 Se 2.73-2.79, 4 Nb 2.97
Se (0.2192, 0.2450, 0.0000) (multiplicity 4)  3 Zr 2.63-2.67, 3 Nb 2.73-2.79

Uncorrected energy = -7.81 eV per atom



No. 4
A geometry-optimized Ge2RhI structure, computed with PBE-GGA.

Cell lengths 6.2747, 6.2747, 11.9450 Å; angles 90.00, 90.00, 90.00 degrees
With the nearest neighbours (Å) after each atom.
Space group I-42d (No. 122)
One atom of each set of equivalent atoms:
Ge (0.1457, 0.2500, 0.1250) (multiplicity 8)  2 Rh 2.35
Rh (0.0000, 0.0000, 0.0000) (multiplicity 4)  4 Ge 2.35
I (0.0000, 0.0000, 0.5000) (multiplicity 4)  4 Ge 3.10

Distance to the lowest polymorph of the same formula = 0.000 eV/atom



No. 5
A geometry-optimized LaYAg3 structure, computed with PBE-GGA.

Cell lengths 5.4324, 5.4324, 5.4324 Å; angles 90.00, 90.00, 90.00 degrees
With the nearest neighbours (Å) after each atom.
Space group Pm-3m (No. 221)
One atom of each set of equivalent atoms:
La (0.0000, 0.0000, 0.0000) (multiplicity 1)  6 Ag 2.72
Y (0.5000, 0.5000, 0.5000) (multiplicity 1)  12 Ag 3.84
Ag (0.0000, 0.0000, 0.5000) (multiplicity 3)  2 La 2.72

Distance to the lowest polymorph of the same formula = 0.913 eV/atom



No. 6
A geometry-optimized ThIrOs structure, computed with PBE-GGA.

Cell lengths 5.2181, 5.5305, 7.9835 Å; angles 90.00, 90.00, 90.00 degrees
With the nearest neighbours (Å) after each atom.
Space group Imma (No. 74)
One atom of each set of equivalent atoms:
Th (0.0000, 0.2500, 0.1228) (multiplicity 4)  6 Ir 3.11-3.31, 6 Os 3.22-3.25, 4 Th 3.31-3.39
Ir (0.0000, 0.0000, 0.5000) (multiplicity 4)  4 Os 2.76, 2 Ir 2.77
Os (0.2500, 0.2500, 0.7500) (multiplicity 4)  2 Os 2.61, 4 Ir 2.76

Uncorrected energy = -9.70 eV per atom



Q: Which volume values were calculated for the entries above? A: 411.9 333.4 265.5 470.3 160.3 230.4, in Å³/cell.
Q: Which spin magnetization values were calculated for the entries above? A: 0.00 0.00 0.21 0.00 0.00 0.00, in Bohr magnetons per cell.